(1)
Entry from Alexandria: Cs2Rb9Hg after structural relaxation (GGA-PBE).

E = -0.90 eV/atom
DOS(E_F) = 0.874 states/eV per atom
space group = No. 123

Cell lengths 6.9899, 6.9899, 20.6611 Å; angles 90.00, 90.00, 90.00 degrees
With the nearest neighbours (Å) after each atom.
Fractional positions:
Cs  0.0000  0.0000  0.1852  12 Rb 4.94-5.18
Cs  0.0000  0.0000  0.8148  12 Rb 4.94-5.18
Rb  0.0000  0.5000  0.0000  8 Rb 4.94-5.15, 4 Cs 5.18
Rb  0.0000  0.5000  0.3687  2 Hg 4.42, 6 Rb 4.42-4.94
Rb  0.0000  0.5000  0.6313  2 Hg 4.42, 6 Rb 4.42-4.94
Rb  0.5000  0.0000  0.0000  8 Rb 4.94-5.15, 4 Cs 5.18
Rb  0.5000  0.0000  0.3687  2 Hg 4.42, 6 Rb 4.42-4.94
Rb  0.5000  0.0000  0.6313  2 Hg 4.42, 6 Rb 4.42-4.94
Rb  0.5000  0.5000  0.1832  4 Cs 4.94, 8 Rb 5.15-5.19
Rb  0.5000  0.5000  0.5000  8 Rb 4.42, 4 Hg 4.94
Rb  0.5000  0.5000  0.8168  4 Cs 4.94, 8 Rb 5.15-5.19
Hg  0.0000  0.0000  0.5000  12 Rb 4.42-4.94

=====

(2)
Entry from Alexandria: Ac3ThGe6 after structural relaxation (GGA-PBE).

E = -5.33 eV/atom
DOS(E_F) = 0.712 states/eV per atom
space group = No. 167

Cell lengths 8.2577, 8.2577, 8.2577 Å; angles 98.00, 98.00, 98.00 degrees
With the nearest neighbours (Å) after each atom.
Fractional positions:
Ac  0.1842  0.7500  0.3158  10 Ge 3.25-3.56
Ac  0.2500  0.6842  0.8158  10 Ge 3.25-3.56
Ac  0.3158  0.1842  0.7500  10 Ge 3.25-3.56
Ac  0.6842  0.8158  0.2500  10 Ge 3.25-3.56
Ac  0.7500  0.3158  0.1842  10 Ge 3.25-3.56
Ac  0.8158  0.2500  0.6842  10 Ge 3.25-3.56
Th  0.0000  0.0000  0.0000  6 Ge 3.11
Th  0.5000  0.5000  0.5000  6 Ge 3.11
Ge  0.0167  0.0892  0.3813  2 Ge 2.63-2.65
Ge  0.0892  0.3813  0.0167  2 Ge 2.63-2.65
Ge  0.1187  0.4108  0.4833  2 Ge 2.63-2.65
Ge  0.3813  0.0167  0.0892  2 Ge 2.63-2.65
Ge  0.4108  0.4833  0.1187  2 Ge 2.63-2.65
Ge  0.4833  0.1187  0.4108  2 Ge 2.63-2.65
Ge  0.5167  0.8813  0.5892  2 Ge 2.63-2.65
Ge  0.5892  0.5167  0.8813  2 Ge 2.63-2.65
Ge  0.6187  0.9833  0.9108  2 Ge 2.63-2.65
Ge  0.8813  0.5892  0.5167  2 Ge 2.63-2.65
Ge  0.9108  0.6187  0.9833  2 Ge 2.63-2.65
Ge  0.9833  0.9108  0.6187  2 Ge 2.63-2.65

=====

(3)
Entry from Alexandria: Er8Bi2Ir after structural relaxation (GGA-PBE).

E = -5.27 eV/atom
DOS(E_F) = 0.998 states/eV per atom
space group = No. 12

Cell lengths 9.8154, 9.8154, 7.2629 Å; angles 96.31, 96.31, 27.16 degrees
With the nearest neighbours (Å) after each atom.
Fractional positions:
Er  0.0021  0.0021  0.2271  2 Ir 2.83
Er  0.2139  0.2139  0.3520  3 Bi 3.26, 6 Er 3.34-3.54
Er  0.3614  0.3614  0.9525  1 Ir 2.63
Er  0.4053  0.4053  0.4820  2 Bi 3.33, 9 Er 3.47-3.67
Er  0.5947  0.5947  0.5180  2 Bi 3.33, 9 Er 3.47-3.67
Er  0.6386  0.6386  0.0475  1 Ir 2.63
Er  0.7861  0.7861  0.6480  3 Bi 3.26, 6 Er 3.34-3.54
Er  0.9979  0.9979  0.7729  2 Ir 2.83
Bi  0.1825  0.1825  0.7840  9 Er 3.17-3.51
Bi  0.8175  0.8175  0.2160  9 Er 3.17-3.51
Ir  0.5000  0.5000  0.0000  6 Er 2.63-2.83

=====

(4)
Entry from Alexandria: CsSnTeCl2 after structural relaxation (GGA-PBE).

DOS(E_F) = 0.913 states/eV per atom
raw formation energy = -0.993 eV/atom
space group = No. 123

Cell lengths 5.6123, 5.6123, 5.7281 Å; angles 90.00, 90.00, 90.00 degrees
With the nearest neighbours (Å) after each atom.
Fractional positions:
Cs  0.0000  0.0000  0.0000  4 Te 3.97, 8 Cl 4.01
Sn  0.5000  0.5000  0.5000  4 Cl 2.81, 2 Te 2.86
Te  0.5000  0.5000  0.0000  2 Sn 2.86
Cl  0.0000  0.5000  0.5000  2 Sn 2.81
Cl  0.5000  0.0000  0.5000  2 Sn 2.81

=====

(5)
Entry from Alexandria: Na2HgSb2 after structural relaxation (GGA-PBE).

DOS(E_F) = 0.164 states/eV per atom
raw formation energy = -0.259 eV/atom
energy relative to the lowest polymorph listed for this composition = 0.0 kJ/mol of atoms
space group = No. 12

Cell lengths 6.3303, 6.3303, 11.3589 Å; angles 115.51, 115.51, 47.15 degrees
With the nearest neighbours (Å) after each atom.
Fractional positions:
Na  0.0043  0.0043  0.1893  3 Hg 3.31-3.57, 6 Sb 3.33-3.67
Na  0.1765  0.1765  0.5985  6 Sb 3.32-3.54, 2 Hg 3.54, 1 Na 3.63
Na  0.8235  0.8235  0.4015  6 Sb 3.32-3.54, 2 Hg 3.54, 1 Na 3.63
Na  0.9957  0.9957  0.8107  3 Hg 3.31-3.57, 6 Sb 3.33-3.67
Hg  0.2782  0.2782  0.1660  4 Sb 2.85-3.07
Hg  0.7218  0.7218  0.8340  4 Sb 2.85-3.07
Sb  0.3597  0.3597  0.9451  1 Sb 2.89, 3 Hg 2.94-3.07
Sb  0.4680  0.4680  0.6086  1 Hg 2.85, 1 Sb 2.89
Sb  0.5320  0.5320  0.3914  1 Hg 2.85, 1 Sb 2.89
Sb  0.6403  0.6403  0.0549  1 Sb 2.89, 3 Hg 2.94-3.07

=====

(6)
Entry from Alexandria: Li3Pa3MoN8 after structural relaxation (GGA-PBE).

raw formation energy = -1.012 eV/atom
space group = No. 166

Cell lengths 6.3764, 6.3764, 6.3764 Å; angles 64.89, 64.89, 64.89 degrees
With the nearest neighbours (Å) after each atom.
Fractional positions:
Li  0.0000  0.5000  0.5000  6 N 2.40-2.43
Li  0.5000  0.0000  0.5000  6 N 2.40-2.43
Li  0.5000  0.5000  0.0000  6 N 2.40-2.43
Pa  0.0000  0.0000  0.5000  6 N 2.26-2.30
Pa  0.0000  0.5000  0.0000  6 N 2.26-2.30
Pa  0.5000  0.0000  0.0000  6 N 2.26-2.30
Mo  0.5000  0.5000  0.5000  6 N 2.09
N  0.2393  0.2393  0.2393  3 Pa 2.26, 3 Li 2.43
N  0.2621  0.7221  0.7221  1 Mo 2.09, 2 Pa 2.30
N  0.2779  0.2779  0.7379  1 Mo 2.09, 2 Pa 2.30
N  0.2779  0.7379  0.2779  1 Mo 2.09, 2 Pa 2.30
N  0.7221  0.2621  0.7221  1 Mo 2.09, 2 Pa 2.30
N  0.7221  0.7221  0.2621  1 Mo 2.09, 2 Pa 2.30
N  0.7379  0.2779  0.2779  1 Mo 2.09, 2 Pa 2.30
N  0.7607  0.7607  0.7607  3 Pa 2.26, 3 Li 2.43

=====

(7)
Entry from Alexandria: InSb2Os after structural relaxation (GGA-PBE).

DOS(E_F) = 0.660 states/eV per atom
raw formation energy = 0.231 eV/atom
space group = No. 123

Cell lengths 3.1741, 3.1741, 9.7000 Å; angles 90.00, 90.00, 90.00 degrees
With the nearest neighbours (Å) after each atom.
Fractional positions:
In  0.0000  0.0000  0.0000  4 In 3.17
Sb  0.5000  0.5000  0.3218  4 Os 2.83
Sb  0.5000  0.5000  0.6782  4 Os 2.83
Os  0.0000  0.0000  0.5000  8 Sb 2.83

=====

(8)
Entry from Alexandria: U2Be3Si4Au after structural relaxation (GGA-PBE).

DOS(E_F) = 1.280 states/eV per atom
raw formation energy = -0.204 eV/atom
space group = No. 115

Cell lengths 3.9321, 3.9321, 9.8419 Å; angles 90.00, 90.00, 90.00 degrees
With the nearest neighbours (Å) after each atom.
Fractional positions:
U  0.0000  0.5000  0.2331  6 Be 2.99-3.28, 8 Si 2.99-3.02, 2 Au 3.28
U  0.5000  0.0000  0.7669  6 Be 2.99-3.28, 8 Si 2.99-3.02, 2 Au 3.28
Be  0.0000  0.5000  0.8784  5 Si 2.20-2.30
Be  0.5000  0.0000  0.1216  5 Si 2.20-2.30
Be  0.5000  0.5000  0.5000  4 Si 2.49, 4 Au 2.78
Si  0.0000  0.0000  0.0000  4 Be 2.30
Si  0.0000  0.5000  0.6550  1 Be 2.20
Si  0.5000  0.0000  0.3450  1 Be 2.20
Si  0.5000  0.5000  0.0000  4 Be 2.30
Au  0.0000  0.0000  0.5000  4 Si 2.49, 4 Be 2.78

=====

(9)
Entry from Alexandria: Tb6TmCd2 after structural relaxation (GGA-PBE).

DOS(E_F) = 1.137 states/eV per atom
energy relative to the lowest polymorph listed for this composition = 6.9 kJ/mol of atoms
space group = No. 15

Cell lengths 9.5311, 9.5311, 6.1193 Å; angles 94.01, 94.01, 73.35 degrees
With the nearest neighbours (Å) after each atom.
Fractional positions:
Tb  0.0738  0.8159  0.9929  3 Cd 3.16-3.35, 4 Tb 3.24-3.44, 1 Tm 3.54
Tb  0.1482  0.4046  0.1611  3 Cd 3.27-3.33, 1 Tm 3.43, 5 Tb 3.43-3.55
Tb  0.1841  0.9262  0.5071  3 Cd 3.16-3.35, 4 Tb 3.24-3.44, 1 Tm 3.54
Tb  0.2306  0.5316  0.6847  2 Cd 3.14-3.33, 3 Tb 3.24-3.46, 2 Tm 3.38-3.40
Tb  0.4046  0.1482  0.6611  3 Cd 3.27-3.33, 1 Tm 3.43, 5 Tb 3.43-3.55
Tb  0.4684  0.7694  0.8153  2 Cd 3.14-3.33, 3 Tb 3.24-3.46, 2 Tm 3.38-3.40
Tb  0.5316  0.2306  0.1847  2 Cd 3.14-3.33, 3 Tb 3.24-3.46, 2 Tm 3.38-3.40
Tb  0.5954  0.8518  0.3389  3 Cd 3.27-3.33, 1 Tm 3.43, 5 Tb 3.43-3.55
Tb  0.7694  0.4684  0.3153  2 Cd 3.14-3.33, 3 Tb 3.24-3.46, 2 Tm 3.38-3.40
Tb  0.8159  0.0738  0.4929  3 Cd 3.16-3.35, 4 Tb 3.24-3.44, 1 Tm 3.54
Tb  0.8518  0.5954  0.8389  3 Cd 3.27-3.33, 1 Tm 3.43, 5 Tb 3.43-3.55
Tb  0.9262  0.1841  0.0071  3 Cd 3.16-3.35, 4 Tb 3.24-3.44, 1 Tm 3.54
Tm  0.4007  0.5993  0.2500  8 Tb 3.38-3.54
Tm  0.5993  0.4007  0.7500  8 Tb 3.38-3.54
Cd  0.0423  0.2859  0.5910  8 Tb 3.14-3.35
Cd  0.2859  0.0423  0.0910  8 Tb 3.14-3.35
Cd  0.7141  0.9577  0.9090  8 Tb 3.14-3.35
Cd  0.9577  0.7141  0.4090  8 Tb 3.14-3.35

=====

(10)
Entry from Alexandria: Th4InTe2As after structural relaxation (GGA-PBE).

DOS(E_F) = 0.691 states/eV per atom
raw formation energy = -0.893 eV/atom
space group = No. 10

Cell lengths 7.6455, 4.4349, 7.7751 Å; angles 90.00, 109.43, 90.00 degrees
With the nearest neighbours (Å) after each atom.
Fractional positions:
Th  0.2279  0.0000  0.2229  2 As 2.99, 1 In 3.12, 3 Te 3.19-3.30
Th  0.2415  0.5000  0.7682  1 As 2.98, 2 In 3.11, 3 Te 3.18-3.32
Th  0.7585  0.5000  0.2318  1 As 2.98, 2 In 3.11, 3 Te 3.18-3.32
Th  0.7721  0.0000  0.7771  2 As 2.99, 1 In 3.12, 3 Te 3.19-3.30
In  0.5000  0.0000  0.0000  6 Th 3.11-3.12
Te  0.0000  0.0000  0.5000  6 Th 3.18-3.19
Te  0.5000  0.5000  0.5000  6 Th 3.30-3.32
As  0.0000  0.5000  0.0000  6 Th 2.98-2.99

=====

(11)
Entry from Alexandria: NdSm2TmBi5 after structural relaxation (GGA-PBE).

E = -4.18 eV/atom
DOS(E_F) = 0.664 states/eV per atom
space group = No. 123

Cell lengths 5.5719, 5.5719, 11.8734 Å; angles 90.00, 90.00, 90.00 degrees
With the nearest neighbours (Å) after each atom.
Fractional positions:
Nd  0.0000  0.0000  0.0000  6 Bi 2.79-3.07
Sm  0.5000  0.5000  0.2250  1 Bi 3.26
Sm  0.5000  0.5000  0.7750  1 Bi 3.26
Tm  0.0000  0.0000  0.5000  2 Bi 2.87
Bi  0.0000  0.0000  0.2582  1 Tm 2.87, 1 Nd 3.07
Bi  0.0000  0.0000  0.7418  1 Tm 2.87, 1 Nd 3.07
Bi  0.0000  0.5000  0.0000  2 Nd 2.79
Bi  0.5000  0.0000  0.0000  2 Nd 2.79
Bi  0.5000  0.5000  0.5000  2 Sm 3.26

=====

(12)
Entry from Alexandria: Tb4PmNd after structural relaxation (GGA-PBE).

DOS(E_F) = 2.223 states/eV per atom
energy relative to the lowest polymorph listed for this composition = 25.3 kJ/mol of atoms
space group = No. 216

Cell lengths 6.6444, 6.6444, 6.6444 Å; angles 60.00, 60.00, 60.00 degrees
With the nearest neighbours (Å) after each atom.
Fractional positions:
Tb  0.1249  0.1249  0.1249  6 Tb 3.32
Tb  0.1249  0.1249  0.6253  6 Tb 3.32
Tb  0.1249  0.6253  0.1249  6 Tb 3.32
Tb  0.6253  0.1249  0.1249  6 Tb 3.32
Pm  0.7500  0.7500  0.7500  12 Tb 3.90, 4 Nd 4.07
Nd  0.5000  0.5000  0.5000  12 Tb 3.90, 4 Pm 4.07